Density functional theory data (PBE) for a relaxed structure of HoNi3Sn.

Values from the calculation:
As for the total moment: 0.000 μB per formula unit. The calculation puts the volume at 18.5 A^3/atom. For the calculated formation energy, the calculation gives -109 kJ/mol of formula units. As for the symmetry: No. 74. The uncorrected energy is -54.10 eV per cell.

abc: 5.269 6.964 6.663
angles: 121.50 113.29 90.00
Fractional coordinates of all 10 atoms:
Ho 0.250 0.329 0.500
Ho 0.750 0.671 0.500
Ni 0.621 0.121 0.742
Ni 0.121 0.121 0.742
Ni 0.879 0.879 0.258
Ni 0.379 0.879 0.258
Ni 0.250 0.758 0.500
Ni 0.750 0.242 0.500
Sn 0.000 0.500 0.000
Sn 0.500 0.000 0.000



Density functional theory data (PBE) for a relaxed structure of Ho2NiSn.

Values from the calculation:
As for the total moment: 0.000 μB per formula unit. The calculation puts the volume at 28.7 A^3/atom. For the calculated formation energy, the calculation gives -38 kJ/mol of formula units. As for the symmetry: No. 166. The calculation puts the energy above the most stable polymorph in this dataset at 1.92 eV/f.u. The uncorrected energy is -19.33 eV per cell.

abc: 3.765 3.765 9.595
angles: 78.69 78.69 60.00
Fractional coordinates of all 4 atoms:
Ni 0.500 0.500 0.500
Ho 0.112 0.112 0.664
Ho 0.888 0.888 0.336
Sn 0.000 0.000 0.000



Density functional theory data (PBE) for a relaxed structure of Ho2NiSn.

Values from the calculation:
As for the total moment: 0.000 μB per formula unit. The calculation puts the volume at 23.0 A^3/atom. For the calculated formation energy, the calculation gives -173 kJ/mol of formula units. As for the symmetry: No. 225. The calculation puts the energy above the most stable polymorph in this dataset at 0.53 eV/f.u. The uncorrected energy is -20.73 eV per cell.

abc: 5.070 5.070 5.070
angles: 60.00 60.00 60.00
Fractional coordinates of all 4 atoms:
Ni 0.000 0.000 0.000
Ho 0.250 0.250 0.250
Ho 0.750 0.750 0.750
Sn 0.500 0.500 0.500



Density functional theory data (PBE) for a relaxed structure of Ho4Ni2Sn.

Values from the calculation:
As for the total moment: 0.000 μB per formula unit. The calculation puts the volume at 23.6 A^3/atom. For the calculated formation energy, the calculation gives -293 kJ/mol of formula units. As for the symmetry: No. 9. The uncorrected energy is -73.83 eV per cell.

abc: 6.768 6.709 8.563
angles: 107.68 107.93 102.87
Fractional coordinates of all 14 atoms:
Ho 0.012 0.237 0.409
Ho 0.424 0.489 0.264
Ho 0.870 0.652 0.672
Ho 0.722 0.128 0.682
Ho 0.410 0.975 0.237
Ho 0.290 0.196 0.818
Ho 0.448 0.731 0.828
Ho 0.853 0.579 0.091
Ni 0.464 0.347 0.576
Ni 0.804 0.850 0.413
Ni 0.640 0.187 0.087
Ni 0.138 0.520 0.924
Sn 0.201 0.794 0.480
Sn 0.972 0.064 0.020



Density functional theory data (PBE) for a relaxed structure of HoNi2Sn8.

Values from the calculation:
As for the total moment: 0.000 μB per formula unit. The calculation puts the volume at 27.0 A^3/atom. For the calculated formation energy, the calculation gives -129 kJ/mol of formula units. As for the symmetry: No. 123. The uncorrected energy is -49.50 eV per cell.

abc: 6.333 6.333 7.410
angles: 90.00 90.00 90.00
Fractional coordinates of all 11 atoms:
Ho 0.500 0.500 0.500
Ni 0.500 0.000 0.000
Ni 0.000 0.500 0.000
Sn 0.755 0.755 0.210
Sn 0.755 0.245 0.790
Sn 0.755 0.755 0.790
Sn 0.755 0.245 0.210
Sn 0.245 0.755 0.210
Sn 0.245 0.755 0.790
Sn 0.245 0.245 0.210
Sn 0.245 0.245 0.790



Density functional theory data (PBE) for a relaxed structure of Ho6Ni2Sn.

Values from the calculation:
As for the total moment: 0.000 μB per formula unit. The calculation puts the volume at 25.1 A^3/atom. For the calculated formation energy, the calculation gives -361 kJ/mol of formula units. As for the symmetry: No. 71. The uncorrected energy is -93.55 eV per cell.

abc: 8.386 8.386 8.386
angles: 113.12 109.61 105.77
Fractional coordinates of all 18 atoms:
Ho 0.437 0.233 0.204
Ho 0.563 0.767 0.796
Ho 0.029 0.233 0.796
Ho 0.971 0.767 0.204
Ho 0.182 0.292 0.474
Ho 0.818 0.708 0.526
Ho 0.182 0.708 0.890
Ho 0.818 0.292 0.110
Ho 0.325 0.635 0.309
Ho 0.675 0.365 0.691
Ho 0.325 0.016 0.691
Ho 0.675 0.984 0.309
Ni 0.350 0.000 0.350
Ni 0.650 0.000 0.650
Ni 0.123 0.623 0.500
Ni 0.877 0.377 0.500
Sn 0.500 0.500 0.000
Sn 0.000 0.000 0.000



Density functional theory data (PBE) for a relaxed structure of Ho6NiSn2.

Values from the calculation:
As for the total moment: 0.000 μB per formula unit. The calculation puts the volume at 28.0 A^3/atom. For the calculated formation energy, the calculation gives -349 kJ/mol of formula units. As for the symmetry: No. 14. The uncorrected energy is -89.74 eV per cell.

abc: 6.271 8.178 9.814
angles: 90.00 89.38 90.00
Fractional coordinates of all 18 atoms:
Ho 0.885 0.975 0.245
Ho 0.867 0.683 0.550
Ho 0.868 0.679 0.953
Ho 0.632 0.179 0.547
Ho 0.633 0.183 0.950
Ho 0.615 0.475 0.255
Ho 0.115 0.025 0.755
Ho 0.133 0.317 0.450
Ho 0.132 0.321 0.047
Ho 0.368 0.821 0.453
Ho 0.367 0.817 0.050
Ho 0.385 0.525 0.745
Ni 0.500 0.500 0.000
Ni 0.000 0.000 0.500
Sn 0.915 0.384 0.748
Sn 0.585 0.884 0.752
Sn 0.415 0.116 0.248
Sn 0.085 0.616 0.252



Density functional theory data (PBE) for a relaxed structure of HoNi9Sn2.

Values from the calculation:
As for the total moment: 0.967 μB per formula unit. The calculation puts the volume at 13.8 A^3/atom. For the calculated formation energy, the calculation gives -259 kJ/mol of formula units. As for the symmetry: No. 166. The calculation puts the energy above the most stable polymorph in this dataset at 0.26 eV/f.u. The uncorrected energy is -67.30 eV per cell.

abc: 4.923 4.923 8.378
angles: 72.91 72.91 60.00
Last column: magnetic moment on the atom in μB.
Fractional coordinates of all 12 atoms:
Ho 0.000 0.000 0.000  -0.03
Ni 0.666 0.666 0.001  0.18
Ni 0.334 0.334 0.999  0.18
Ni 0.500 0.500 0.500  0.10
Ni 0.414 0.414 0.252  0.11
Ni 0.920 0.414 0.252  0.11
Ni 0.414 0.920 0.252  0.11
Ni 0.586 0.586 0.748  0.11
Ni 0.586 0.080 0.748  0.11
Ni 0.080 0.586 0.748  0.11
Sn 0.862 0.862 0.413  -0.01
Sn 0.138 0.138 0.587  -0.01